Entry from Alexandria via LeMat-Bulk: crystalline NiO at its relaxed geometry (PBE with a Hubbard U).

```
data_NiO
_symmetry_space_group_name_H-M 'I 4/m'
_symmetry_Int_Tables_number 87
_symmetry_space_group_name_Hall '-I 4'
_cell_length_a 6.916
_cell_length_b 6.916
_cell_length_c 4.173
_cell_angle_alpha 90.00
_cell_angle_beta 90.00
_cell_angle_gamma 90.00
loop_
_atom_site_label
_atom_site_type_symbol
_atom_site_fract_x
_atom_site_fract_y
_atom_site_fract_z
_atom_site_occupancy
Ni1 Ni 0.140 0.340 0.000 1
O1 O 0.136 0.342 0.500 1
```

Output
**Spin magnetization**: 16.00 μB/cell
**Total DFT energy (no corrections)**: -4.68 eV per atom